No. 1
PmGa2Pt | PBE | optimized geometry

As for the crystal system: orthorhombic. The value obtained for the spin magnetization is 0.0000 μB/atom. For the polymorph energy (0 for the lowest one), the calculation gives 0.066 eV/atom. The total DFT energy (no corrections) comes out at -5.040 eV/atom.

```
16
Lattice="5.7085 0.0000 0.0000 0.0000 6.7545 0.0000 0.0000 0.0000 8.2390" Properties=species:S:1:pos:R:3 pbc="T T T"
Pm 2.1246 1.6886 0.3632
Pm 4.9789 5.0659 3.7563
Pm 3.5839 5.0659 7.8757
Pm 0.7296 1.6886 4.4827
Ga 5.0314 0.3682 1.4929
Ga 2.1771 6.3863 2.6266
Ga 0.6771 3.7454 6.7461
Ga 3.5314 3.0091 5.6124
Ga 0.6771 6.3863 6.7461
Ga 3.5314 0.3682 5.6124
Ga 5.0314 3.0091 1.4929
Ga 2.1771 3.7454 2.6266
Pt 3.6433 1.6886 3.3249
Pt 0.7890 5.0659 0.7946
Pt 2.0652 5.0659 4.9141
Pt 4.9195 1.6886 7.4444
```

***

No. 2
Pm2Ga12Pt7 | PBE | optimized geometry

As for the crystal system: hexagonal. The value obtained for the spin magnetization is 0.0000 μB/atom. The total DFT energy (no corrections) comes out at -4.934 eV/atom.

```
21
Lattice="4.2063 0.0000 0.0000 0.0000 8.7194 -5.0342 0.0000 0.0000 10.0683" Properties=species:S:1:pos:R:3 pbc="T T T"
Pm 2.1032 0.0000 0.0000
Pm 0.0000 5.8130 0.0000
Ga 2.1032 8.0789 1.5114
Ga 2.1032 5.9889 -2.7181
Ga 2.1032 3.3710 1.2067
Ga 2.1032 2.1884 6.7614
Ga 2.1032 4.7613 4.7924
Ga 2.1032 1.7697 3.5487
Ga 0.0000 0.3218 4.9436
Ga 0.0000 4.1204 7.3178
Ga 0.0000 4.2772 2.8411
Ga 0.0000 7.0592 3.2462
Ga 0.0000 8.0011 -2.7024
Ga 0.0000 2.3785 -0.5438
Pt 0.0000 2.9065 5.0342
Pt 0.0000 0.7748 7.4889
Pt 0.0000 6.0981 5.6529
Pt 0.0000 1.8465 1.9607
Pt 2.1032 5.7359 2.4064
Pt 2.1032 7.9354 -1.1365
Pt 2.1032 3.7675 -1.2699
```

***

Repeat the second record exactly.
Pm2Ga12Pt7 | PBE | optimized geometry

As for the crystal system: hexagonal. The value obtained for the spin magnetization is 0.0000 μB/atom. The total DFT energy (no corrections) comes out at -4.934 eV/atom.

```
21
Lattice="4.2063 0.0000 0.0000 0.0000 8.7194 -5.0342 0.0000 0.0000 10.0683" Properties=species:S:1:pos:R:3 pbc="T T T"
Pm 2.1032 0.0000 0.0000
Pm 0.0000 5.8130 0.0000
Ga 2.1032 8.0789 1.5114
Ga 2.1032 5.9889 -2.7181
Ga 2.1032 3.3710 1.2067
Ga 2.1032 2.1884 6.7614
Ga 2.1032 4.7613 4.7924
Ga 2.1032 1.7697 3.5487
Ga 0.0000 0.3218 4.9436
Ga 0.0000 4.1204 7.3178
Ga 0.0000 4.2772 2.8411
Ga 0.0000 7.0592 3.2462
Ga 0.0000 8.0011 -2.7024
Ga 0.0000 2.3785 -0.5438
Pt 0.0000 2.9065 5.0342
Pt 0.0000 0.7748 7.4889
Pt 0.0000 6.0981 5.6529
Pt 0.0000 1.8465 1.9607
Pt 2.1032 5.7359 2.4064
Pt 2.1032 7.9354 -1.1365
Pt 2.1032 3.7675 -1.2699
```

***

> Number 1 is which compound?

PmGa2Pt